# 1
Below is Ga3HgMo after structural relaxation, with properties calculated at the PBE level.

## Properties
Space group = Pm-3m, No. 221
Volume = 124.39 Å³/cell
Total magnetization = 0.000 μB/atom
Distance to the lowest polymorph of the same formula = 0 meV per atom
Fermi-level density of states = 4.254 states/eV/cell

Cell and atoms, written as CIF:
```
data_Ga3HgMo
_cell_length_a 4.992
_cell_length_b 4.992
_cell_length_c 4.992
_cell_angle_alpha 90.00
_cell_angle_beta 90.00
_cell_angle_gamma 90.00
_space_group_name_H-M_alt 'P 1'
_space_group_IT_number 1
loop_
_space_group_symop_operation_xyz
'x,y,z'
loop_
_atom_site_label
_atom_site_fract_x
_atom_site_fract_y
_atom_site_fract_z
Mo1 0.000 0.000 0.000
Hg1 0.500 0.500 0.500
Ga1 0.000 0.500 0.000
Ga2 0.000 0.000 0.500
Ga3 0.500 0.000 0.000
```

=====

# 2
Below is Tb12ErNi6 after structural relaxation, with properties calculated at the PBE level.

## Properties
Total energy = -5.222 eV per atom
Space group = Im-3, No. 204
Volume = 480.92 Å³/cell
Total magnetization = 0.000 μB/atom
Fermi-level density of states = 24.907 states/eV/cell

Cell and atoms, written as CIF:
```
data_Tb12ErNi6
_cell_length_a 8.549
_cell_length_b 8.549
_cell_length_c 8.549
_cell_angle_alpha 109.47
_cell_angle_beta 109.47
_cell_angle_gamma 109.47
_space_group_name_H-M_alt 'P 1'
_space_group_IT_number 1
loop_
_space_group_symop_operation_xyz
'x,y,z'
loop_
_atom_site_label
_atom_site_fract_x
_atom_site_fract_y
_atom_site_fract_z
Tb1 0.311 0.127 0.816
Tb2 0.311 0.495 0.184
Tb3 0.689 0.505 0.816
Tb4 0.689 0.873 0.184
Tb5 0.127 0.816 0.311
Tb6 0.495 0.184 0.311
Tb7 0.505 0.816 0.689
Tb8 0.873 0.184 0.689
Tb9 0.816 0.311 0.127
Tb10 0.184 0.311 0.495
Tb11 0.816 0.689 0.505
Tb12 0.184 0.689 0.873
Er1 0.000 0.000 0.000
Ni1 0.377 0.500 0.877
Ni2 0.623 0.500 0.123
Ni3 0.500 0.877 0.377
Ni4 0.500 0.123 0.623
Ni5 0.877 0.377 0.500
Ni6 0.123 0.623 0.500
```

=====

# 3
Below is K2SrCl4 after structural relaxation, with properties calculated at the PBE level.

## Properties
Space group = Pbam, No. 55
Volume = 460.84 Å³/cell
Total magnetization = 0.000 μB/atom
Distance to the lowest polymorph of the same formula = 0 meV per atom
Fermi-level density of states = 0.000 states/eV/cell
Formation energy (no corrections) = -2.19 eV per atom

Cell and atoms, written as CIF:
```
data_K2SrCl4
_cell_length_a 4.475
_cell_length_b 7.798
_cell_length_c 13.207
_cell_angle_alpha 90.00
_cell_angle_beta 90.00
_cell_angle_gamma 90.00
_space_group_name_H-M_alt 'P 1'
_space_group_IT_number 1
loop_
_space_group_symop_operation_xyz
'x,y,z'
loop_
_atom_site_label
_atom_site_fract_x
_atom_site_fract_y
_atom_site_fract_z
Sr1 0.000 0.000 0.500
Sr2 0.000 0.500 0.000
K1 0.500 0.925 0.818
K2 0.500 0.075 0.182
K3 0.500 0.425 0.682
K4 0.500 0.575 0.318
Cl1 0.000 0.638 0.798
Cl2 0.000 0.362 0.202
Cl3 0.000 0.138 0.702
Cl4 0.000 0.862 0.298
Cl5 0.500 0.766 0.543
Cl6 0.500 0.234 0.457
Cl7 0.500 0.734 0.043
Cl8 0.500 0.266 0.957
```

=====

# 4
Below is K2SrSb after structural relaxation, with properties calculated at the PBE level.

## Properties
Space group = P4/mmm, No. 123
Volume = 157.48 Å³/cell
Total magnetization = 0.217 μB/atom
Fermi-level density of states = 1.012 states/eV/cell
Formation energy (no corrections) = -0.37 eV per atom

Cell and atoms, written as CIF:
```
data_K2SrSb
_cell_length_a 5.101
_cell_length_b 5.101
_cell_length_c 6.052
_cell_angle_alpha 90.00
_cell_angle_beta 90.00
_cell_angle_gamma 90.00
_space_group_name_H-M_alt 'P 1'
_space_group_IT_number 1
loop_
_space_group_symop_operation_xyz
'x,y,z'
loop_
_atom_site_label
_atom_site_fract_x
_atom_site_fract_y
_atom_site_fract_z
K1 0.000 0.000 0.000
K2 0.500 0.500 0.000
Sb1 0.500 0.000 0.500
Sr1 0.000 0.500 0.500
```

=====

# 5
Below is Sc3RuPt2 after structural relaxation, with properties calculated at the PBE level.

## Properties
Total energy = -7.767 eV per atom
Space group = P-3m1, No. 164
Volume = 104.44 Å³/cell
Total magnetization = 0.000 μB/atom
Fermi-level density of states = 3.591 states/eV/cell

Cell and atoms, written as CIF:
```
data_Sc3RuPt2
_cell_length_a 4.618
_cell_length_b 4.618
_cell_length_c 5.656
_cell_angle_alpha 90.00
_cell_angle_beta 90.00
_cell_angle_gamma 120.00
_space_group_name_H-M_alt 'P 1'
_space_group_IT_number 1
loop_
_space_group_symop_operation_xyz
'x,y,z'
loop_
_atom_site_label
_atom_site_fract_x
_atom_site_fract_y
_atom_site_fract_z
Sc1 0.000 0.000 0.500
Sc2 0.667 0.333 0.838
Sc3 0.333 0.667 0.162
Ru1 0.000 0.000 0.000
Pt1 0.667 0.333 0.328
Pt2 0.333 0.667 0.672
```

=====

# 6
Below is VBN3 after structural relaxation, with properties calculated at the PBE level.

## Properties
Space group = Pm-3m, No. 221
Volume = 36.99 Å³/cell
Total magnetization = 0.031 μB/atom
Fermi-level density of states = 3.742 states/eV/cell
Formation energy (no corrections) = 0.92 eV per atom

Cell and atoms, written as CIF:
```
data_VBN3
_cell_length_a 3.332
_cell_length_b 3.332
_cell_length_c 3.332
_cell_angle_alpha 90.00
_cell_angle_beta 90.00
_cell_angle_gamma 90.00
_space_group_name_H-M_alt 'P 1'
_space_group_IT_number 1
loop_
_space_group_symop_operation_xyz
'x,y,z'
loop_
_atom_site_label
_atom_site_fract_x
_atom_site_fract_y
_atom_site_fract_z
V1 0.500 0.500 0.500
B1 0.000 0.000 0.000
N1 0.000 0.500 0.000
N2 0.000 0.000 0.500
N3 0.500 0.000 0.000
```

=====

# 7
Below is Sr2LaPuO6 after structural relaxation, with properties calculated at the PBE level.

## Properties
Space group = P2_1/c, No. 14
Volume = 328.53 Å³/cell
Total magnetization = 0.300 μB/atom
Fermi-level density of states = 21.304 states/eV/cell
Formation energy (no corrections) = -3.04 eV per atom

Cell and atoms, written as CIF:
```
data_Sr2LaPuO6
_cell_length_a 6.054
_cell_length_b 6.243
_cell_length_c 8.693
_cell_angle_alpha 90.00
_cell_angle_beta 90.16
_cell_angle_gamma 90.00
_space_group_name_H-M_alt 'P 1'
_space_group_IT_number 1
loop_
_space_group_symop_operation_xyz
'x,y,z'
loop_
_atom_site_label
_atom_site_fract_x
_atom_site_fract_y
_atom_site_fract_z
Sr1 0.013 0.953 0.253
Sr2 0.513 0.547 0.753
Sr3 0.987 0.047 0.747
Sr4 0.487 0.453 0.247
La1 0.500 0.000 0.000
La2 0.000 0.500 0.500
Pu1 0.500 0.000 0.500
Pu2 0.000 0.500 0.000
O1 0.285 0.686 0.053
O2 0.785 0.814 0.553
O3 0.715 0.314 0.947
O4 0.215 0.186 0.447
O5 0.315 0.716 0.434
O6 0.815 0.784 0.934
O7 0.685 0.284 0.566
O8 0.185 0.216 0.066
O9 0.889 0.551 0.234
O10 0.389 0.949 0.734
O11 0.111 0.449 0.766
O12 0.611 0.051 0.266
```

=====

# 8
Below is ScFe2WC after structural relaxation, with properties calculated at the PBE level.

## Properties
Total energy = -6.046 eV per atom
Space group = P4/mmm, No. 123
Volume = 86.23 Å³/cell
Total magnetization = 0.812 μB/atom
Fermi-level density of states = 6.643 states/eV/cell

Cell and atoms, written as CIF:
```
data_ScFe2WC
_cell_length_a 4.155
_cell_length_b 4.995
_cell_length_c 4.155
_cell_angle_alpha 90.00
_cell_angle_beta 90.00
_cell_angle_gamma 90.00
_space_group_name_H-M_alt 'P 1'
_space_group_IT_number 1
loop_
_space_group_symop_operation_xyz
'x,y,z'
loop_
_atom_site_label
_atom_site_fract_x
_atom_site_fract_y
_atom_site_fract_z
Sc1 0.000 0.000 0.000
C1 0.500 0.500 0.500
Fe1 0.000 0.000 0.500
Fe2 0.500 0.000 0.000
W1 0.000 0.500 0.000
```

=====

# 9
Below is CaDyCu2Ge2 after structural relaxation, with properties calculated at the PBE level.

## Properties
Total energy = -4.580 eV per atom
Space group = P-3m1, No. 164
Volume = 119.30 Å³/cell
Total magnetization = 0.000 μB/atom
Fermi-level density of states = 4.624 states/eV/cell

Cell and atoms, written as CIF:
```
data_CaDyCu2Ge2
_cell_length_a 4.267
_cell_length_b 4.267
_cell_length_c 7.565
_cell_angle_alpha 90.00
_cell_angle_beta 90.00
_cell_angle_gamma 120.00
_space_group_name_H-M_alt 'P 1'
_space_group_IT_number 1
loop_
_space_group_symop_operation_xyz
'x,y,z'
loop_
_atom_site_label
_atom_site_fract_x
_atom_site_fract_y
_atom_site_fract_z
Ca1 0.000 0.000 0.000
Dy1 0.000 0.000 0.500
Cu1 0.333 0.667 0.735
Cu2 0.667 0.333 0.265
Ge1 0.333 0.667 0.269
Ge2 0.667 0.333 0.731
```

=====

# 10
Below is LiCdSe2 after structural relaxation, with properties calculated at the PBE level.

## Properties
Space group = C2/m, No. 12
Volume = 87.16 Å³/cell
Total magnetization = 0.000 μB/atom
Fermi-level density of states = 0.361 states/eV/cell
Formation energy (no corrections) = -0.48 eV per atom

Cell and atoms, written as CIF:
```
data_LiCdSe2
_cell_length_a 5.580
_cell_length_b 5.580
_cell_length_c 3.037
_cell_angle_alpha 73.79
_cell_angle_beta 73.79
_cell_angle_gamma 87.02
_space_group_name_H-M_alt 'P 1'
_space_group_IT_number 1
loop_
_space_group_symop_operation_xyz
'x,y,z'
loop_
_atom_site_label
_atom_site_fract_x
_atom_site_fract_y
_atom_site_fract_z
Cd1 0.500 0.000 0.500
Li1 0.000 0.500 0.500
Se1 0.000 0.000 0.000
Se2 0.500 0.500 0.000
```

=====

# 11
Below is Tb12SiPd6 after structural relaxation, with properties calculated at the PBE level.

## Properties
Space group = R-3, No. 148
Volume = 547.17 Å³/cell
Total magnetization = 0.000 μB/atom
Fermi-level density of states = 19.794 states/eV/cell
Formation energy (no corrections) = -0.49 eV per atom

Cell and atoms, written as CIF:
```
data_Tb12SiPd6
_cell_length_a 8.329
_cell_length_b 8.329
_cell_length_c 8.329
_cell_angle_alpha 100.10
_cell_angle_beta 100.10
_cell_angle_gamma 100.10
_space_group_name_H-M_alt 'P 1'
_space_group_IT_number 1
loop_
_space_group_symop_operation_xyz
'x,y,z'
loop_
_atom_site_label
_atom_site_fract_x
_atom_site_fract_y
_atom_site_fract_z
Tb1 0.822 0.587 0.424
Tb2 0.424 0.822 0.587
Tb3 0.587 0.424 0.822
Tb4 0.178 0.413 0.576
Tb5 0.576 0.178 0.413
Tb6 0.413 0.576 0.178
Tb7 0.084 0.944 0.323
Tb8 0.056 0.677 0.916
Tb9 0.677 0.916 0.056
Tb10 0.916 0.056 0.677
Tb11 0.944 0.323 0.084
Tb12 0.323 0.084 0.944
Si1 0.000 0.000 0.000
Pd1 0.680 0.864 0.384
Pd2 0.616 0.320 0.136
Pd3 0.136 0.616 0.320
Pd4 0.320 0.136 0.616
Pd5 0.384 0.680 0.864
Pd6 0.864 0.384 0.680
```

=====

# 12
Below is Cu2W3Se6 after structural relaxation, with properties calculated at the PBE level.

## Properties
Space group = Cmc2_1, No. 36
Volume = 430.70 Å³/cell
Total magnetization = 0.000 μB/atom
Fermi-level density of states = 4.104 states/eV/cell
Formation energy (no corrections) = -0.15 eV per atom

Cell and atoms, written as CIF:
```
data_Cu2W3Se6
_cell_length_a 8.823
_cell_length_b 8.823
_cell_length_c 14.927
_cell_angle_alpha 90.00
_cell_angle_beta 90.00
_cell_angle_gamma 158.24
_space_group_name_H-M_alt 'P 1'
_space_group_IT_number 1
loop_
_space_group_symop_operation_xyz
'x,y,z'
loop_
_atom_site_label
_atom_site_fract_x
_atom_site_fract_y
_atom_site_fract_z
Cu1 0.287 0.713 0.520
Cu2 0.047 0.953 0.479
Cu3 0.713 0.287 0.020
Cu4 0.953 0.047 0.979
W1 0.279 0.721 0.749
W2 0.609 0.391 0.750
W3 0.943 0.057 0.751
W4 0.721 0.279 0.249
W5 0.057 0.943 0.251
W6 0.391 0.609 0.250
Se1 0.278 0.722 0.134
Se2 0.610 0.390 0.134
Se3 0.946 0.054 0.138
Se4 0.722 0.278 0.861
Se5 0.056 0.944 0.865
Se6 0.388 0.612 0.868
Se7 0.722 0.278 0.634
Se8 0.054 0.946 0.638
Se9 0.390 0.610 0.634
Se10 0.278 0.722 0.361
Se11 0.612 0.388 0.368
Se12 0.944 0.056 0.365
```